A plane-wave DFT calculation with GGA-PBE was carried out for crystalline Nd3HoIn at its relaxed geometry.

For the energy of formation from the pure elements, the calculation gives -0.189 eV per atom. The relative energy among the computed polymorphs comes out at 0.00 eV/f.u. The total energy comes out at -90.25 eV/cell. The density of states at the Fermi level comes out at 6.0 states/eV/f.u.

The structure belongs to space group Cmcm (No. 63); the cell edges are 4.920, 25.697 and 4.922 Å and the angles 90.00°, 90.00° and 90.00°. The inequivalent atoms are Nd at (0.000, 0.054, 0.250), Nd at (0.000, 0.251, 0.250), Nd at (0.000, 0.445, 0.250), Ho at (0.000, 0.348, 0.750) and In at (0.000, 0.153, 0.750).